PbAu2Br: optimized geometry, GGA-PBE.

Properties
Magnetization   0.0 Bohr magnetons per cell
Energy relative to the elements, uncorrected   2.6 kJ/mol of atoms
E above lowest polymorph   0.59 eV/f.u.

Lattice parameters (Å, degrees): 6.553 6.553 4.154 71.60 71.60 126.71
Atoms (fractional coordinates):
Au  0.000  0.000  0.000
Au  0.500  0.500  0.000
Br  0.500  0.000  0.500
Pb  0.000  0.500  0.500

=====

LiTl2ZnHg: optimized geometry, GGA-PBE.

Properties
Magnetization   0.0 Bohr magnetons per cell
ΔH_f (0 K)   0.125 eV per atom

Lattice parameters (Å, degrees): 5.307 5.123 5.307 90.00 90.00 90.00
Atoms (fractional coordinates):
Li  0.000  0.500  0.000
Tl  0.500  0.000  0.000
Tl  0.000  0.000  0.500
Hg  0.500  0.500  0.500
Zn  0.000  0.000  0.000

=====

Mn2SeS: optimized geometry, GGA-PBE.

Properties
Magnetization   8.5 Bohr magnetons per cell
Energy relative to the elements, uncorrected   -31.4 kJ/mol of atoms
E above lowest polymorph   0.35 eV/f.u.

Lattice parameters (Å, degrees): 3.584 3.584 6.625 74.31 74.31 60.00
Site moments in Bohr magnetons follow the coordinates.
Atoms (fractional coordinates):
S  0.670  0.670  0.991  0.07
Mn  0.256  0.256  0.232  3.96
Mn  0.077  0.077  0.768  3.87
Se  0.497  0.497  0.509  0.03

=====

Tb2Pm3HoTm6: optimized geometry, GGA-PBE.

Properties
Magnetization   0.0 Bohr magnetons per cell
ΔH_f (0 K)   0.021 eV per atom

Lattice parameters (Å, degrees): 6.145 6.145 11.670 95.02 95.02 119.97
Atoms (fractional coordinates):
Tm  0.584  0.917  0.753
Tm  0.251  0.251  0.752
Tm  0.083  0.416  0.247
Tm  0.917  0.584  0.753
Tm  0.416  0.083  0.247
Tm  0.749  0.749  0.248
Pm  0.500  0.500  0.500
Pm  0.167  0.833  0.500
Pm  0.833  0.167  0.500
Tb  0.667  0.333  0.000
Tb  0.333  0.667  0.000
Ho  0.000  0.000  0.000

=====

NaTl15Cd4: optimized geometry, GGA-PBE.

Properties
Magnetization   0.0 Bohr magnetons per cell
ΔH_f (0 K)   0.020 eV per atom

Lattice parameters (Å, degrees): 4.873 4.873 24.373 90.00 90.00 90.00
Atoms (fractional coordinates):
Tl  0.000  0.500  0.101
Tl  0.500  0.000  0.101
Tl  0.500  0.000  0.298
Tl  0.000  0.500  0.500
Tl  0.500  0.500  0.200
Tl  0.500  0.500  0.800
Tl  0.500  0.500  0.600
Tl  0.500  0.500  0.400
Tl  0.000  0.500  0.702
Tl  0.000  0.500  0.899
Tl  0.000  0.500  0.298
Tl  0.500  0.000  0.500
Tl  0.500  0.000  0.899
Tl  0.500  0.000  0.702
Tl  0.500  0.500  0.000
Na  0.000  0.000  0.000
Cd  0.000  0.000  0.399
Cd  0.000  0.000  0.803
Cd  0.000  0.000  0.601
Cd  0.000  0.000  0.197

=====

AlCo6Tc: optimized geometry, GGA-PBE.

Properties
Magnetization   1.2 Bohr magnetons per cell
ΔH_f (0 K)   -0.078 eV per atom

Lattice parameters (Å, degrees): 6.146 6.146 10.071 90.00 90.00 109.69
Site moments in Bohr magnetons follow the coordinates.
Atoms (fractional coordinates):
Co  0.125  0.373  0.876  0.14
Co  0.627  0.875  0.876  0.14
Co  0.875  0.627  0.876  0.14
Co  0.374  0.123  0.374  -0.05
Co  0.626  0.877  0.126  -0.05
Co  0.875  0.627  0.624  0.14
Co  0.373  0.125  0.624  0.14
Co  0.123  0.374  0.126  -0.05
Co  0.000  0.000  0.250  -0.03
Co  0.877  0.626  0.126  -0.05
Co  0.627  0.875  0.624  0.14
Co  0.500  0.500  0.750  0.63
Co  0.877  0.626  0.374  -0.05
Co  0.752  0.248  0.498  -0.04
Co  0.248  0.752  0.002  -0.04
Co  0.125  0.373  0.624  0.14
Co  0.248  0.752  0.498  -0.04
Co  0.752  0.248  0.002  -0.04
Co  0.373  0.125  0.876  0.14
Co  0.123  0.374  0.374  -0.05
Co  0.374  0.123  0.126  -0.05
Co  0.000  0.000  0.750  0.24
Co  0.500  0.500  0.250  -0.04
Co  0.626  0.877  0.374  -0.05
Al  0.248  0.752  0.750  -0.01
Al  0.752  0.248  0.750  -0.01
Al  0.500  0.500  0.998  0.00
Al  0.500  0.500  0.502  0.00
Tc  0.248  0.752  0.250  0.00
Tc  0.000  0.000  0.993  -0.04
Tc  0.000  0.000  0.507  -0.04
Tc  0.752  0.248  0.250  0.00

=====

Values for final energy, eV per atom, ordered as above
-2.957 -1.520 -6.813 -4.556 -2.004 -7.171